! PBE CsAg2AsS3, optimized geometry; values from VASP
&SYSTEM
  ibrav = 0, nat = 28, ntyp = 4
/
ATOMIC_SPECIES
S 32.06 S.upf
As 74.92 As.upf
Ag 107.87 Ag.upf
Cs 132.91 Cs.upf
ATOMIC_POSITIONS crystal
S 0.082 0.433 0.749
S 0.721 0.562 0.841
S 0.582 0.067 0.251
S 0.779 0.062 0.841
S 0.918 0.567 0.251
S 0.418 0.933 0.749
S 0.028 0.213 0.434
S 0.472 0.713 0.434
S 0.279 0.438 0.159
S 0.221 0.938 0.159
S 0.528 0.287 0.566
S 0.972 0.787 0.566
As 0.855 0.557 0.652
As 0.355 0.943 0.348
As 0.145 0.443 0.348
As 0.645 0.057 0.652
Ag 0.746 0.430 0.440
Ag 0.754 0.930 0.440
Ag 0.527 0.719 0.674
Ag 0.973 0.219 0.674
Ag 0.027 0.781 0.326
Ag 0.246 0.070 0.560
Ag 0.254 0.570 0.560
Ag 0.473 0.281 0.326
Cs 0.433 0.255 0.911
Cs 0.067 0.755 0.911
Cs 0.567 0.745 0.089
Cs 0.933 0.245 0.089
CELL_PARAMETERS angstrom
8.571 0.000 0.000
0.000 9.645 0.018
0.000 3.247 9.633
! - Final energy: -3.816 eV per atom
! - Magnetization: 0.000 μB per atom
! - ρ: 4.338 g/cm³
! - Energy relative to the elements, uncorrected: -0.447 eV/atom

---

! PBE Cs2AgAs2S6, optimized geometry; values from VASP
&SYSTEM
  ibrav = 0, nat = 11, ntyp = 4
/
ATOMIC_SPECIES
S 32.06 S.upf
As 74.92 As.upf
Ag 107.87 Ag.upf
Cs 132.91 Cs.upf
ATOMIC_POSITIONS crystal
S 0.246 0.755 0.243
S 0.245 0.245 0.757
S 0.245 0.754 0.757
S 0.755 0.755 0.243
S 0.755 0.246 0.243
S 0.754 0.245 0.757
As 0.571 0.571 0.287
As 0.429 0.429 0.713
Ag 0.000 0.000 0.000
Cs 0.232 0.232 0.304
Cs 0.768 0.768 0.696
CELL_PARAMETERS angstrom
7.255 0.000 0.000
3.628 6.283 0.000
3.628 2.094 7.251
! - Final energy: -3.893 eV per atom
! - Magnetization: 0.000 μB per atom
! - ρ: 3.596 g/cm³
! - Energy relative to the elements, uncorrected: -0.382 eV/atom

---

! PBE Cs3AgAs2S6, optimized geometry; values from VASP
&SYSTEM
  ibrav = 0, nat = 12, ntyp = 4
/
ATOMIC_SPECIES
As 74.92 As.upf
Ag 107.87 Ag.upf
Cs 132.91 Cs.upf
S 32.06 S.upf
ATOMIC_POSITIONS crystal
As 0.667 0.333 0.750
As 0.333 0.667 0.250
Ag 0.000 0.000 0.500
Cs 0.000 0.000 0.000
Cs 0.333 0.667 0.649
Cs 0.667 0.333 0.351
S 0.836 0.164 0.690
S 0.164 0.329 0.310
S 0.836 0.671 0.690
S 0.164 0.836 0.310
S 0.671 0.836 0.310
S 0.329 0.164 0.690
CELL_PARAMETERS angstrom
7.292 0.000 0.000
-3.646 6.315 0.000
0.000 0.000 9.352
! - Final energy: -3.844 eV per atom
! - Magnetization: 0.000 μB per atom
! - ρ: 3.273 g/cm³
! - Energy relative to the elements, uncorrected: -0.555 eV/atom

---

! PBE CsAg2AsS4, optimized geometry; values from VASP
&SYSTEM
  ibrav = 0, nat = 8, ntyp = 4
/
ATOMIC_SPECIES
S 32.06 S.upf
As 74.92 As.upf
Cs 132.91 Cs.upf
Ag 107.87 Ag.upf
ATOMIC_POSITIONS crystal
S 0.647 0.520 0.807
S 0.026 0.807 0.520
S 0.353 0.193 0.480
S 0.974 0.480 0.193
As 0.000 0.500 0.500
Cs 0.000 0.000 0.000
Ag 0.500 0.334 0.666
Ag 0.500 0.666 0.334
CELL_PARAMETERS angstrom
6.503 0.000 0.000
3.252 5.991 -0.692
3.252 -0.025 6.031
! - Final energy: -3.831 eV per atom
! - Magnetization: 0.000 μB per atom
! - ρ: 3.902 g/cm³
! - Energy relative to the elements, uncorrected: -0.367 eV/atom

---

! PBE CsAg2AsSe4, optimized geometry; values from VASP
&SYSTEM
  ibrav = 0, nat = 8, ntyp = 4
/
ATOMIC_SPECIES
Se 78.96 Se.upf
As 74.92 As.upf
Cs 132.91 Cs.upf
Ag 107.87 Ag.upf
ATOMIC_POSITIONS crystal
Se 0.023 0.819 0.521
Se 0.637 0.521 0.819
Se 0.363 0.181 0.479
Se 0.977 0.479 0.181
As 0.000 0.500 0.500
Cs 0.000 0.000 0.000
Ag 0.500 0.663 0.337
Ag 0.500 0.337 0.663
CELL_PARAMETERS angstrom
-4.577 4.906 1.149
-5.506 -1.414 4.273
1.359 4.805 5.064
! - Final energy: -3.488 eV per atom
! - Magnetization: 0.000 μB per atom
! - ρ: 4.653 g/cm³
! - Energy relative to the elements, uncorrected: -0.345 eV/atom

---

! PBE CsAgAs2Se4, optimized geometry; values from VASP
&SYSTEM
  ibrav = 0, nat = 8, ntyp = 4
/
ATOMIC_SPECIES
Ag 107.87 Ag.upf
Se 78.96 Se.upf
Cs 132.91 Cs.upf
As 74.92 As.upf
ATOMIC_POSITIONS crystal
Ag 0.500 0.500 0.500
Se 0.175 0.902 0.418
Se 0.505 0.418 0.902
Se 0.825 0.582 0.098
Se 0.495 0.098 0.582
Cs 0.000 0.000 0.000
As 0.770 0.730 0.730
As 0.230 0.270 0.270
CELL_PARAMETERS angstrom
-6.697 -0.475 2.112
-4.540 -4.888 -3.769
-2.648 -6.971 1.761
! - Final energy: -3.608 eV per atom
! - Magnetization: 0.000 μB per atom
! - ρ: 4.434 g/cm³
! - Energy relative to the elements, uncorrected: -0.241 eV/atom

---

! PBE CsSiAgAs2, optimized geometry; values from VASP
&SYSTEM
  ibrav = 0, nat = 10, ntyp = 4
/
ATOMIC_SPECIES
Ag 107.87 Ag.upf
As 74.92 As.upf
Cs 132.91 Cs.upf
Si 28.09 Si.upf
ATOMIC_POSITIONS crystal
Ag 0.500 0.000 0.500
Ag 0.000 0.000 0.500
As 0.410 0.819 0.813
As 0.590 0.181 0.187
As 0.910 0.819 0.187
As 0.090 0.181 0.813
Cs 0.750 0.500 0.753
Cs 0.250 0.500 0.247
Si 0.250 0.000 0.000
Si 0.750 0.000 0.000
CELL_PARAMETERS angstrom
6.260 0.000 0.000
-3.130 7.061 0.000
0.000 0.000 6.974
! - Final energy: -3.972 eV per atom
! - Magnetization: 0.000 μB per atom
! - ρ: 4.511 g/cm³
! - Energy relative to the elements, uncorrected: -0.287 eV/atom

---

! PBE CsAgSnAs2, optimized geometry; values from VASP
&SYSTEM
  ibrav = 0, nat = 10, ntyp = 4
/
ATOMIC_SPECIES
Ag 107.87 Ag.upf
Cs 132.91 Cs.upf
Sn 118.71 Sn.upf
As 74.92 As.upf
ATOMIC_POSITIONS crystal
Ag 0.670 0.340 0.069
Ag 0.330 0.660 0.931
Cs 0.652 0.305 0.669
Cs 0.348 0.695 0.331
Sn 0.942 0.885 0.832
Sn 0.058 0.115 0.168
As 0.619 0.238 0.310
As 0.869 0.739 0.065
As 0.381 0.762 0.690
As 0.131 0.261 0.935
CELL_PARAMETERS angstrom
4.446 0.000 0.000
-2.223 7.075 -0.017
0.000 -1.783 10.517
! - Final energy: -3.595 eV per atom
! - ΔE_f: -0.193 eV/atom
! - Magnetization: 0.000 μB per atom
! - ρ: 5.115 g/cm³

---

! PBE Cs2AgTe4As, optimized geometry; values from VASP
&SYSTEM
  ibrav = 0, nat = 16, ntyp = 4
/
ATOMIC_SPECIES
Cs 132.91 Cs.upf
Te 127.60 Te.upf
As 74.92 As.upf
Ag 107.87 Ag.upf
ATOMIC_POSITIONS crystal
Cs 0.172 0.000 0.656
Cs 0.578 0.500 0.844
Cs 0.828 0.000 0.344
Cs 0.922 0.500 0.156
Te 0.902 0.749 0.905
Te 0.400 0.751 0.405
Te 0.194 0.251 0.905
Te 0.555 0.251 0.095
Te 0.195 0.249 0.405
Te 0.848 0.751 0.595
Te 0.350 0.749 0.095
Te 0.556 0.249 0.595
As 0.250 0.500 0.500
As 0.500 0.000 0.000
Ag 0.000 0.000 0.000
Ag 0.750 0.500 0.500
CELL_PARAMETERS angstrom
7.383 0.000 0.000
3.692 6.488 0.000
3.692 0.000 14.034
! - Final energy: -3.133 eV per atom
! - Magnetization: 0.000 μB per atom
! - ρ: 4.738 g/cm³
! - Energy relative to the elements, uncorrected: -0.411 eV/atom

---

! PBE Cs2Ag2Te4As, optimized geometry; values from VASP
&SYSTEM
  ibrav = 0, nat = 9, ntyp = 4
/
ATOMIC_SPECIES
Ag 107.87 Ag.upf
Te 127.60 Te.upf
As 74.92 As.upf
Cs 132.91 Cs.upf
ATOMIC_POSITIONS crystal
Ag 0.236 0.699 0.922
Ag 0.764 0.301 0.078
Te 0.670 0.692 0.113
Te 0.973 0.848 0.700
Te 0.330 0.308 0.887
Te 0.027 0.152 0.300
As 0.000 0.000 0.000
Cs 0.302 0.719 0.395
Cs 0.698 0.281 0.605
CELL_PARAMETERS angstrom
-0.161 2.212 5.226
-6.624 -0.984 -1.521
1.599 -9.282 1.713
! - Final energy: -3.049 eV per atom
! - Magnetization: 0.000 μB per atom
! - ρ: 5.036 g/cm³
! - Energy relative to the elements, uncorrected: -0.313 eV/atom

---

! PBE CsAgTe4As2, optimized geometry; values from VASP
&SYSTEM
  ibrav = 0, nat = 8, ntyp = 4
/
ATOMIC_SPECIES
Ag 107.87 Ag.upf
Te 127.60 Te.upf
As 74.92 As.upf
Cs 132.91 Cs.upf
ATOMIC_POSITIONS crystal
Ag 0.500 0.500 0.500
Te 0.375 0.465 0.961
Te 0.625 0.039 0.535
Te 0.199 0.961 0.465
Te 0.801 0.535 0.039
As 0.875 0.625 0.625
As 0.125 0.375 0.375
Cs 0.000 0.000 0.000
CELL_PARAMETERS angstrom
-0.435 -1.004 5.776
-6.297 -3.371 1.932
1.695 -6.943 1.913
! - Final energy: -3.260 eV per atom
! - Magnetization: 0.000 μB per atom
! - ρ: 5.601 g/cm³
! - Energy relative to the elements, uncorrected: -0.064 eV/atom

---

! PBE CsAgTe3As, optimized geometry; values from VASP
&SYSTEM
  ibrav = 0, nat = 12, ntyp = 4
/
ATOMIC_SPECIES
Cs 132.91 Cs.upf
Ag 107.87 Ag.upf
As 74.92 As.upf
Te 127.60 Te.upf
ATOMIC_POSITIONS crystal
Cs 0.750 0.787 0.743
Cs 0.250 0.213 0.257
Ag 0.250 0.060 0.600
Ag 0.750 0.940 0.400
As 0.750 0.337 0.875
As 0.250 0.663 0.125
Te 0.750 0.235 0.568
Te 0.750 0.475 0.146
Te 0.250 0.140 0.878
Te 0.250 0.525 0.854
Te 0.750 0.860 0.122
Te 0.250 0.765 0.432
CELL_PARAMETERS angstrom
-2.748 0.746 3.013
-7.708 -2.311 -6.457
3.764 -8.667 5.578
! - Final energy: -3.249 eV per atom
! - Magnetization: 0.000 μB per atom
! - ρ: 5.387 g/cm³
! - Energy relative to the elements, uncorrected: -0.285 eV/atom

---

What is the final energy in the ninth record?
-3.133 eV per atom